The following is a DFT calculation (GGA-PBE) of a geometry-optimized Ni3AsOs structure.

Output
**Formation enthalpy at 0 K**: 24.3 kcal/mol of atoms
**E above lowest polymorph**: 0 kJ/mol of formula units

CIF file:
```
data_Ni3AsOs
_cell_length_a 4.2460
_cell_length_b 4.2460
_cell_length_c 4.2460
_cell_angle_alpha 90.00
_cell_angle_beta 90.00
_cell_angle_gamma 90.00
_space_group_name_H-M_alt 'P m -3 m'
_space_group_IT_number 221
_space_group_name_Hall '-P 4 2 3'
loop_
_atom_site_label
_atom_site_type_symbol
_atom_site_fract_x
_atom_site_fract_y
_atom_site_fract_z
_atom_site_occupancy
Ni1 Ni 0.0000 0.0000 0.5000 1
As1 As 0.0000 0.0000 0.0000 1
Os1 Os 0.5000 0.5000 0.5000 1
```


The following is a DFT calculation (GGA-PBE) of a geometry-optimized K3SrIn structure.

Output
**Formation enthalpy at 0 K**: 14.9 kcal/mol of atoms
**E above lowest polymorph**: 209 kJ/mol of formula units

CIF file:
```
data_K3SrIn
_cell_length_a 7.5629
_cell_length_b 7.5629
_cell_length_c 7.5629
_cell_angle_alpha 90.00
_cell_angle_beta 90.00
_cell_angle_gamma 90.00
_space_group_name_H-M_alt 'P m -3 m'
_space_group_IT_number 221
_space_group_name_Hall '-P 4 2 3'
loop_
_atom_site_label
_atom_site_type_symbol
_atom_site_fract_x
_atom_site_fract_y
_atom_site_fract_z
_atom_site_occupancy
K1 K 0.0000 0.0000 0.5000 1
Sr1 Sr 0.0000 0.0000 0.0000 1
In1 In 0.5000 0.5000 0.5000 1
```


The following is a DFT calculation (GGA-PBE) of a geometry-optimized CsLiTl2Cd structure.

Output
**Formation enthalpy at 0 K**: 1.6 kcal/mol of atoms
**E above lowest polymorph**: 31 kJ/mol of formula units

CIF file:
```
data_CsLiTl2Cd
_cell_length_a 5.8073
_cell_length_b 5.8073
_cell_length_c 5.7156
_cell_angle_alpha 90.00
_cell_angle_beta 90.00
_cell_angle_gamma 90.00
_space_group_name_H-M_alt 'P 4/m m m'
_space_group_IT_number 123
_space_group_name_Hall '-P 4 2'
loop_
_atom_site_label
_atom_site_type_symbol
_atom_site_fract_x
_atom_site_fract_y
_atom_site_fract_z
_atom_site_occupancy
Cs1 Cs 0.0000 0.0000 0.0000 1
Li1 Li 0.5000 0.5000 0.0000 1
Tl1 Tl 0.0000 0.5000 0.5000 1
Cd1 Cd 0.5000 0.5000 0.5000 1
```


The following is a DFT calculation (GGA-PBE) of a geometry-optimized LiCe3S4 structure.

CIF file:
```
data_LiCe3S4
_cell_length_a 5.6532
_cell_length_b 5.6532
_cell_length_c 5.6532
_cell_angle_alpha 90.00
_cell_angle_beta 90.00
_cell_angle_gamma 90.00
_space_group_name_H-M_alt 'P m -3 m'
_space_group_IT_number 221
_space_group_name_Hall '-P 4 2 3'
loop_
_atom_site_label
_atom_site_type_symbol
_atom_site_fract_x
_atom_site_fract_y
_atom_site_fract_z
_atom_site_occupancy
Li1 Li 0.0000 0.0000 0.0000 1
Ce1 Ce 0.0000 0.5000 0.5000 1
S1 S 0.0000 0.0000 0.5000 1
S2 S 0.5000 0.5000 0.5000 1
```


The following is a DFT calculation (GGA-PBE) of a geometry-optimized Mg2CuBr structure.

Output
**E above lowest polymorph**: 18 kJ/mol of formula units

CIF file:
```
data_Mg2CuBr
_cell_length_a 6.1475
_cell_length_b 3.4390
_cell_length_c 8.1554
_cell_angle_alpha 90.00
_cell_angle_beta 104.71
_cell_angle_gamma 90.00
_space_group_name_H-M_alt 'C 1 2/m 1'
_space_group_IT_number 12
loop_
_space_group_symop_operation_xyz
'x,y,z'
'-x,-y,-z'
'-x,y,-z'
'x,-y,z'
'x+1/2,y+1/2,z'
'-x+1/2,-y+1/2,-z'
'-x+1/2,y+1/2,-z'
'x+1/2,-y+1/2,z'
loop_
_atom_site_label
_atom_site_type_symbol
_atom_site_fract_x
_atom_site_fract_y
_atom_site_fract_z
_atom_site_occupancy
Mg1 Mg 0.2476 0.0000 0.2269 1
Cu1 Cu 0.0000 0.5000 0.0000 1
Br1 Br 0.0000 0.0000 0.5000 1
```


The following is a DFT calculation (GGA-PBE) of a geometry-optimized Y2CrP structure.

Output
**Formation enthalpy at 0 K**: -11.0 kcal/mol of atoms

CIF file:
```
data_Y2CrP
_cell_length_a 6.9323
_cell_length_b 4.0687
_cell_length_c 7.1335
_cell_angle_alpha 90.00
_cell_angle_beta 109.42
_cell_angle_gamma 90.00
_space_group_name_H-M_alt 'P 1 m 1'
_space_group_IT_number 6
loop_
_space_group_symop_operation_xyz
'x,y,z'
'x,-y,z'
loop_
_atom_site_label
_atom_site_type_symbol
_atom_site_fract_x
_atom_site_fract_y
_atom_site_fract_z
_atom_site_occupancy
Y1 Y 0.0000 0.0000 0.0000 1
Y2 Y 0.0036 0.5000 0.4175 1
Y3 Y 0.4377 0.0000 0.7752 1
Y4 Y 0.4525 0.5000 0.2369 1
Cr1 Cr 0.7109 0.0000 0.5137 1
Cr2 Cr 0.7744 0.5000 0.6912 1
P1 P 0.1670 0.5000 0.8323 1
P2 P 0.7130 0.5000 0.0070 1
```


The following is a DFT calculation (GGA-PBE) of a geometry-optimized Ca2LaOs structure.

Output
**Formation enthalpy at 0 K**: 12.8 kcal/mol of atoms
**E above lowest polymorph**: 171 kJ/mol of formula units

CIF file:
```
data_Ca2LaOs
_cell_length_a 6.0765
_cell_length_b 11.2233
_cell_length_c 3.6676
_cell_angle_alpha 90.00
_cell_angle_beta 121.05
_cell_angle_gamma 90.00
_space_group_name_H-M_alt 'C 1 2/m 1'
_space_group_IT_number 12
loop_
_space_group_symop_operation_xyz
'x,y,z'
'-x,-y,-z'
'-x,y,-z'
'x,-y,z'
'x+1/2,y+1/2,z'
'-x+1/2,-y+1/2,-z'
'-x+1/2,y+1/2,-z'
'x+1/2,-y+1/2,z'
loop_
_atom_site_label
_atom_site_type_symbol
_atom_site_fract_x
_atom_site_fract_y
_atom_site_fract_z
_atom_site_occupancy
Ca1 Ca 0.2500 0.2500 0.0000 1
La1 La 0.0000 0.0000 0.5000 1
Os1 Os 0.0000 0.5000 0.5000 1
```


The following is a DFT calculation (GGA-PBE) of a geometry-optimized LaAg4 structure.

Output
**Formation enthalpy at 0 K**: -1.9 kcal/mol of atoms

CIF file:
```
data_LaAg4
_cell_length_a 3.5847
_cell_length_b 3.5847
_cell_length_c 16.9614
_cell_angle_alpha 90.00
_cell_angle_beta 90.00
_cell_angle_gamma 90.00
_space_group_name_H-M_alt 'I 4/m m m'
_space_group_IT_number 139
_space_group_name_Hall '-I 4 2'
loop_
_atom_site_label
_atom_site_type_symbol
_atom_site_fract_x
_atom_site_fract_y
_atom_site_fract_z
_atom_site_occupancy
La1 La 0.0000 0.0000 0.0000 1
Ag1 Ag 0.0000 0.0000 0.2061 1
Ag2 Ag 0.0000 0.0000 0.3781 1
```


| no. | DFT total energy (eV/atom) | total magnetization (μB/f.u.) |
| --- | --- | --- |
| 1 | -5.589 | 2.98 |
| 2 | -0.896 | 0.00 |
| 3 | -1.614 | 0.00 |
| 4 | -6.417 | 2.90 |
| 5 | -2.534 | 0.00 |
| 6 | -7.465 | 0.42 |
| 7 | -4.484 | 0.00 |
| 8 | -3.347 | 0.00 |